Material: Li2TiZn2
Method: DFT, PBE-GGA
State: relaxed

a b c (Å): 3.501 3.501 6.861
angles (deg): 104.78 104.78 90.00
Positions (direct):
Ti 0.000 0.000 0.000
Li 0.250 0.750 0.500
Li 0.750 0.250 0.500
Zn 0.598 0.598 0.197
Zn 0.402 0.402 0.803

Summary:
* energy of formation from the pure elements: 0.049 eV per atom
* ΔE to the lowest computed polymorph: 0.088 eV per atom
* DOS(E_F): 3.12 states/eV per cell
* raw total energy: -2.805 eV per atom